1.
# NaCdAu | Alexandria via LeMat-Bulk | PBE | optimized geometry
# M_tot = 0.00 μB per cell
# mass density = 7222 kg/m3
# E_form = -0.17 eV per atom
data_NaCdAu
_symmetry_space_group_name_H-M 'C m c e'
_symmetry_Int_Tables_number 64
_symmetry_space_group_name_Hall '-C 2ac 2'
_cell_length_a 5.949
_cell_length_b 13.207
_cell_length_c 7.781
_cell_angle_alpha 90.00
_cell_angle_beta 90.00
_cell_angle_gamma 90.00
loop_
_atom_site_label
_atom_site_fract_x
_atom_site_fract_y
_atom_site_fract_z
_atom_site_occupancy
Na1 0.000 0.187 0.091 1
Cd1 0.250 0.051 0.750 1
Au1 0.000 0.105 0.444 1

=====

2.
# TcHg2Br6 | Alexandria via LeMat-Bulk | PBE | optimized geometry
# M_tot = 20.00 μB per cell
# energy relative to the elements, uncorrected = -0.201 eV per atom
# mass density = 4354 kg/m3
data_TcHg2Br6
_symmetry_space_group_name_H-M 'C 1 2/c 1'
_symmetry_Int_Tables_number 15
_symmetry_space_group_name_Hall '-C 2yc'
_cell_length_a 15.233
_cell_length_b 15.136
_cell_length_c 7.155
_cell_angle_alpha 90.00
_cell_angle_beta 115.17
_cell_angle_gamma 90.00
loop_
_atom_site_label
_atom_site_fract_x
_atom_site_fract_y
_atom_site_fract_z
_atom_site_occupancy
Tc1 0.000 0.216 0.250 1
Hg1 0.224 0.424 0.390 1
Br1 0.095 0.112 0.566 1
Br2 0.104 0.307 0.110 1
Br3 0.189 0.412 0.722 1